No. 1
Below is a crystal of NdHo3S6 relaxed with PBEsol, with properties calculated at the meta-GGA SCAN level.

Volume   22.56 Å³ per atom
ΔE_f (raw)   -2379 meV per atom
Crystal system   monoclinic

Cell and atoms, written as CIF:
```
data_NdHo3S6
_cell_length_a 10.880
_cell_length_b 3.917
_cell_length_c 11.185
_cell_angle_alpha 90.00
_cell_angle_beta 108.82
_cell_angle_gamma 90.00
_symmetry_space_group_name_H-M 'P 1'
_symmetry_Int_Tables_number 1
_symmetry_space_group_name_Hall 'P 1'
loop_
_atom_site_label
_atom_site_fract_x
_atom_site_fract_y
_atom_site_fract_z
Nd1 0.049 0.250 0.195
Nd2 0.951 0.750 0.805
Ho1 0.160 0.250 0.586
Ho2 0.320 0.750 0.998
Ho3 0.440 0.250 0.332
Ho4 0.560 0.750 0.668
Ho5 0.680 0.250 0.002
Ho6 0.840 0.750 0.414
S1 0.084 0.750 0.405
S2 0.119 0.250 0.964
S3 0.196 0.750 0.749
S4 0.263 0.750 0.227
S5 0.394 0.250 0.558
S6 0.481 0.250 0.113
S7 0.519 0.750 0.887
S8 0.606 0.750 0.442
S9 0.737 0.250 0.773
S10 0.804 0.250 0.251
S11 0.881 0.750 0.036
S12 0.916 0.250 0.595
```

=====

No. 2
Below is a crystal of YMoRh2 relaxed with PBEsol, with properties calculated at the meta-GGA SCAN level.

Volume   16.49 Å³ per atom
Crystal system   orthorhombic
Calculated formation energy   -0.1608 eV/atom

Cell and atoms, written as CIF:
```
data_YMoRh2
_cell_length_a 4.124
_cell_length_b 4.311
_cell_length_c 7.423
_cell_angle_alpha 90.00
_cell_angle_beta 90.00
_cell_angle_gamma 90.00
_symmetry_space_group_name_H-M 'P 1'
_symmetry_Int_Tables_number 1
_symmetry_space_group_name_Hall 'P 1'
loop_
_atom_site_label
_atom_site_fract_x
_atom_site_fract_y
_atom_site_fract_z
Y1 0.000 0.000 0.000
Y2 0.500 0.500 0.500
Mo1 0.000 0.000 0.500
Mo2 0.500 0.500 0.000
Rh1 0.000 0.500 0.245
Rh2 0.000 0.500 0.755
Rh3 0.500 0.000 0.255
Rh4 0.500 0.000 0.745
```

=====

No. 3
Below is a crystal of NiPb2W relaxed with PBEsol, with properties calculated at the meta-GGA SCAN level.

Volume   19.54 Å³ per atom
Crystal system   orthorhombic
Calculated formation energy   0.8224 eV/atom

Cell and atoms, written as CIF:
```
data_NiPb2W
_cell_length_a 3.026
_cell_length_b 4.875
_cell_length_c 10.595
_cell_angle_alpha 90.00
_cell_angle_beta 90.00
_cell_angle_gamma 90.00
_symmetry_space_group_name_H-M 'P 1'
_symmetry_Int_Tables_number 1
_symmetry_space_group_name_Hall 'P 1'
loop_
_atom_site_label
_atom_site_fract_x
_atom_site_fract_y
_atom_site_fract_z
Ni1 0.000 0.000 0.000
Ni2 0.500 0.500 0.500
Pb1 0.000 0.000 0.470
Pb2 0.000 0.500 0.263
Pb3 0.500 0.000 0.763
Pb4 0.500 0.500 0.970
W1 0.000 0.500 0.682
W2 0.500 0.000 0.182
```

=====

No. 4
Below is a crystal of Zn2SbW relaxed with PBEsol, with properties calculated at the meta-GGA SCAN level.

Volume   16.12 Å³ per atom
ΔE_f (raw)   424 meV per atom
Crystal system   orthorhombic

Cell and atoms, written as CIF:
```
data_Zn2SbW
_cell_length_a 3.658
_cell_length_b 4.221
_cell_length_c 8.351
_cell_angle_alpha 90.00
_cell_angle_beta 90.00
_cell_angle_gamma 90.00
_symmetry_space_group_name_H-M 'P 1'
_symmetry_Int_Tables_number 1
_symmetry_space_group_name_Hall 'P 1'
loop_
_atom_site_label
_atom_site_fract_x
_atom_site_fract_y
_atom_site_fract_z
Zn1 0.000 0.000 0.000
Zn2 0.000 0.500 0.268
Zn3 0.500 0.000 0.768
Zn4 0.500 0.500 0.500
Sb1 0.000 0.500 0.757
Sb2 0.500 0.000 0.257
W1 0.000 0.000 0.516
W2 0.500 0.500 0.016
```

=====

No. 5
Below is a crystal of Pb9Br10O4 relaxed with PBEsol, with properties calculated at the meta-GGA SCAN level.

Volume   26.92 Å³ per atom
ΔE_f (raw)   -1072 meV per atom
Crystal system   tetragonal

Cell and atoms, written as CIF:
```
data_Pb9Br10O4
_cell_length_a 12.228
_cell_length_b 12.228
_cell_length_c 8.282
_cell_angle_alpha 90.00
_cell_angle_beta 90.00
_cell_angle_gamma 90.00
_symmetry_space_group_name_H-M 'P 1'
_symmetry_Int_Tables_number 1
_symmetry_space_group_name_Hall 'P 1'
loop_
_atom_site_label
_atom_site_fract_x
_atom_site_fract_y
_atom_site_fract_z
Pb1 0.007 0.822 0.186
Pb2 0.109 0.802 0.647
Pb3 0.178 0.507 0.814
Pb4 0.198 0.609 0.353
Pb5 0.250 0.250 0.212
Pb6 0.302 0.891 0.353
Pb7 0.322 0.993 0.814
Pb8 0.391 0.698 0.647
Pb9 0.493 0.678 0.186
Pb10 0.507 0.322 0.814
Pb11 0.609 0.302 0.353
Pb12 0.678 0.007 0.186
Pb13 0.698 0.109 0.647
Pb14 0.750 0.750 0.788
Pb15 0.802 0.391 0.647
Pb16 0.822 0.493 0.186
Pb17 0.891 0.198 0.353
Pb18 0.993 0.178 0.814
Br1 0.042 0.375 0.123
Br2 0.064 0.371 0.585
Br3 0.125 0.042 0.123
Br4 0.129 0.064 0.585
Br5 0.250 0.250 0.877
Br6 0.250 0.750 0.000
Br7 0.371 0.436 0.585
Br8 0.375 0.458 0.123
Br9 0.436 0.129 0.585
Br10 0.458 0.125 0.123
Br11 0.542 0.875 0.877
Br12 0.564 0.871 0.415
Br13 0.625 0.542 0.877
Br14 0.629 0.564 0.415
Br15 0.750 0.250 0.000
Br16 0.750 0.750 0.123
Br17 0.871 0.936 0.415
Br18 0.875 0.958 0.877
Br19 0.936 0.629 0.415
Br20 0.958 0.625 0.877
O1 0.140 0.793 0.373
O2 0.207 0.640 0.627
O3 0.293 0.860 0.627
O4 0.360 0.707 0.373
O5 0.640 0.293 0.627
O6 0.707 0.140 0.373
O7 0.793 0.360 0.373
O8 0.860 0.207 0.627
```

=====

No. 6
Below is a crystal of LaCoPt2 relaxed with PBEsol, with properties calculated at the meta-GGA SCAN level.

Volume   17.41 Å³ per atom
Crystal system   tetragonal
Calculated formation energy   -0.3818 eV/atom

Cell and atoms, written as CIF:
```
data_LaCoPt2
_cell_length_a 4.118
_cell_length_b 4.118
_cell_length_c 8.215
_cell_angle_alpha 90.00
_cell_angle_beta 90.00
_cell_angle_gamma 90.00
_symmetry_space_group_name_H-M 'P 1'
_symmetry_Int_Tables_number 1
_symmetry_space_group_name_Hall 'P 1'
loop_
_atom_site_label
_atom_site_fract_x
_atom_site_fract_y
_atom_site_fract_z
La1 0.000 0.000 0.000
La2 0.500 0.500 0.500
Co1 0.000 0.500 0.750
Co2 0.500 0.000 0.250
Pt1 0.000 0.000 0.500
Pt2 0.000 0.500 0.250
Pt3 0.500 0.000 0.750
Pt4 0.500 0.500 0.000
```

=====

No. 7
Below is a crystal of CdPt2W relaxed with PBEsol, with properties calculated at the meta-GGA SCAN level.

Volume   15.90 Å³ per atom
Crystal system   tetragonal
Calculated formation energy   -0.3575 eV/atom

Cell and atoms, written as CIF:
```
data_CdPt2W
_cell_length_a 2.801
_cell_length_b 2.801
_cell_length_c 8.107
_cell_angle_alpha 90.00
_cell_angle_beta 90.00
_cell_angle_gamma 90.00
_symmetry_space_group_name_H-M 'P 1'
_symmetry_Int_Tables_number 1
_symmetry_space_group_name_Hall 'P 1'
loop_
_atom_site_label
_atom_site_fract_x
_atom_site_fract_y
_atom_site_fract_z
Cd1 0.000 0.000 0.000
Pt1 0.500 0.500 0.269
Pt2 0.500 0.500 0.731
W1 0.000 0.000 0.500
```

=====

No. 8
Below is a crystal of SrNdMnCoO6 relaxed with PBEsol, with properties calculated at the meta-GGA SCAN level.

Volume   10.68 Å³ per atom
ΔE_f (raw)   -2619 meV per atom
Crystal system   cubic

Cell and atoms, written as CIF:
```
data_SrNdMnCoO6
_cell_length_a 5.325
_cell_length_b 5.325
_cell_length_c 5.325
_cell_angle_alpha 60.00
_cell_angle_beta 60.00
_cell_angle_gamma 60.00
_symmetry_space_group_name_H-M 'P 1'
_symmetry_Int_Tables_number 1
_symmetry_space_group_name_Hall 'P 1'
loop_
_atom_site_label
_atom_site_fract_x
_atom_site_fract_y
_atom_site_fract_z
Sr1 0.000 0.000 0.000
Nd1 0.500 0.500 0.500
Mn1 0.750 0.750 0.750
Co1 0.250 0.250 0.250
O1 0.000 0.000 0.500
O2 0.000 0.500 0.000
O3 0.000 0.500 0.500
O4 0.500 0.000 0.000
O5 0.500 0.000 0.500
O6 0.500 0.500 0.000
```